# 1
DFT (PBE) results for crystalline CdGa2Sn2 at its relaxed geometry.

Values from the calculation:
* final energy: -2.877 eV per atom
* polymorph energy (0 for the lowest one): 0.0456 eV/atom
* theoretical density: 6273 kg/m3
* space-group type: I4/mmm (139)

a b c (Å): 6.4553 6.4553 6.4553
angles (deg): 135.68 135.68 64.48
Sites, in units of the cell vectors:
Cd  0.0000  0.0000  0.0000
Ga  0.3880  0.3880  0.0000
Ga  0.6120  0.6120  0.0000
Sn  0.2500  0.7500  0.5000
Sn  0.7500  0.2500  0.5000

# 2
DFT (PBE) results for crystalline CdGa4Sn at its relaxed geometry.

Values from the calculation:
* final energy: -2.751 eV per atom
* polymorph energy (0 for the lowest one): 0.0396 eV/atom
* theoretical density: 6484 kg/m3
* space-group type: F-43m (216)

a b c (Å): 5.6952 5.6952 5.6952
angles (deg): 60.00 60.00 60.00
Sites, in units of the cell vectors:
Cd  0.0000  0.0000  0.0000
Ga  0.1241  0.6253  0.6253
Ga  0.6253  0.1241  0.6253
Ga  0.6253  0.6253  0.1241
Ga  0.6253  0.6253  0.6253
Sn  0.2500  0.2500  0.2500

# 3
DFT (PBE) results for crystalline Cd3Ga3Sn at its relaxed geometry.

Values from the calculation:
* final energy: -1.801 eV per atom
* theoretical density: 5191 kg/m3
* space-group type: Pm-3n (223)

a b c (Å): 7.5215 7.5215 7.5215
angles (deg): 90.00 90.00 90.00
Sites, in units of the cell vectors:
Cd  0.0000  0.2500  0.5000
Cd  0.0000  0.7500  0.5000
Cd  0.2500  0.5000  0.0000
Cd  0.5000  0.0000  0.2500
Cd  0.5000  0.0000  0.7500
Cd  0.7500  0.5000  0.0000
Ga  0.0000  0.5000  0.2500
Ga  0.0000  0.5000  0.7500
Ga  0.2500  0.0000  0.5000
Ga  0.5000  0.2500  0.0000
Ga  0.5000  0.7500  0.0000
Ga  0.7500  0.0000  0.5000
Sn  0.0000  0.0000  0.0000
Sn  0.5000  0.5000  0.5000

# 4
DFT (PBE) results for crystalline Sr2CdGa3Sn4 at its relaxed geometry.

Values from the calculation:
* final energy: -3.240 eV per atom
* theoretical density: 5855 kg/m3
* space-group type: P-4m2 (115)

a b c (Å): 5.0552 5.0552 10.7830
angles (deg): 90.00 90.00 90.00
Sites, in units of the cell vectors:
Sr  0.0000  0.5000  0.2500
Sr  0.5000  0.0000  0.7500
Cd  0.0000  0.0000  0.5000
Ga  0.0000  0.5000  0.8824
Ga  0.5000  0.0000  0.1176
Ga  0.5000  0.5000  0.5000
Sn  0.0000  0.0000  0.0000
Sn  0.0000  0.5000  0.6337
Sn  0.5000  0.0000  0.3663
Sn  0.5000  0.5000  0.0000

# 5
DFT (PBE) results for crystalline SrCdGa2Sn at its relaxed geometry.

Values from the calculation:
* final energy: -2.865 eV per atom
* theoretical density: 5921 kg/m3
* space-group type: Imm2 (44)

a b c (Å): 6.6559 6.6559 6.6559
angles (deg): 139.18 137.65 60.28
Sites, in units of the cell vectors:
Sr  0.0000  0.0000  0.0000
Cd  0.2586  0.7586  0.5000
Ga  0.3799  0.3799  0.0000
Ga  0.7678  0.2678  0.5000
Sn  0.6157  0.6157  0.0000

# 6
DFT (PBE) results for crystalline SrCd2GaSn2 at its relaxed geometry.

Values from the calculation:
* final energy: -2.574 eV per atom
* theoretical density: 5791 kg/m3
* space-group type: Pnnm (58)

a b c (Å): 7.5046 9.0195 5.2499
angles (deg): 90.00 90.00 90.00
Sites, in units of the cell vectors:
Sr  0.0000  0.0000  0.0000
Sr  0.5000  0.5000  0.5000
Cd  0.1887  0.1938  0.5000
Cd  0.3113  0.6938  0.0000
Cd  0.6887  0.3062  0.0000
Cd  0.8113  0.8062  0.5000
Ga  0.0000  0.5000  0.0000
Ga  0.5000  0.0000  0.5000
Sn  0.2124  0.8117  0.5000
Sn  0.2876  0.3117  0.0000
Sn  0.7124  0.6883  0.0000
Sn  0.7876  0.1883  0.5000

no.,ΔH_f (0 K) (eV/atom)
1,0.118
2,0.087
3,0.460
4,-0.303
5,-0.334
6,-0.150